A) Below is a crystal of Li5La relaxed with PBEsol, with properties calculated at the SCAN level.

## Properties
V ... 136.73 Å³/cell

Cell and atoms, written as extended XYZ:
```
6
Lattice="5.3549 -1.6216 0.0000 5.3549 1.6216 0.0000 -3.2642 0.0000 7.8732" Properties=species:S:1:pos:R:3 pbc="T T T"
Li 0.0000 0.0000 0.0000
Li -1.3919 0.0000 3.4850
Li 3.0926 0.0000 1.2890
Li 1.7142 0.0000 4.7683
Li 6.2012 0.0000 2.3869
La 4.5818 0.0000 6.3210
```

=====

B) Below is a crystal of Li5La relaxed with PBEsol, with properties calculated at the SCAN level.

## Properties
V ... 133.78 Å³/cell

Cell and atoms, written as extended XYZ:
```
6
Lattice="0.0000 4.0593 4.0593 4.0593 0.0000 4.0593 4.0593 4.0593 0.0000" Properties=species:S:1:pos:R:3 pbc="T T T"
Li 0.0000 0.0000 0.0000
Li 3.0270 3.0270 3.0270
Li 5.0916 5.0916 3.0270
Li 5.0916 3.0270 5.0916
Li 3.0270 5.0916 5.0916
La 6.0889 6.0889 6.0889
```

=====

Quick ranking, most stable first: A), B).